[1]
This record from the Alexandria database describes an optimized crystal structure of CoPbW. The functional is PBE.

```
3
Lattice="3.106 0.000 0.000 -1.553 2.690 0.000 0.000 0.000 6.524" Properties=species:S:1:pos:R:3 pbc="T T T"
W 1.553 0.897 4.668
Co 0.000 0.000 6.279
Pb 0.000 1.794 2.101
```

E_tot	-21.52	eV for the cell shown
total magnetization	0.000	μB/f.u.
calculated formation energy	748	meV/atom
DOS at the Fermi energy	3.0	states/eV per cell
space group	P3m1 (156)

[2]
This record from the Alexandria database describes an optimized crystal structure of CoPbW2. The functional is PBE.

```
4
Lattice="-4.299 -2.187 -1.989 4.028 -3.371 1.021 -1.108 -1.370 2.255" Properties=species:S:1:pos:R:3 pbc="T T T"
Co 1.460 -2.370 1.638
Pb -0.136 -2.779 -0.484
W 0.000 0.000 0.000
W -2.703 -1.778 0.133
```

E_tot	-33.09	eV for the cell shown
total magnetization	1.108	μB/f.u.
calculated formation energy	908	meV/atom
DOS at the Fermi energy	4.2	states/eV per cell
space group	C2/m (12)

[3]
This record from the Alexandria database describes an optimized crystal structure of CoPbW2. The functional is PBE.

```
4
Lattice="-5.588 -4.930 5.591 -3.025 -5.350 7.001 -4.627 -2.925 7.538" Properties=species:S:1:pos:R:3 pbc="T T T"
Co -6.738 -6.721 10.246
Pb -10.000 -9.974 15.205
W -13.154 -13.119 20.001
W -3.206 -3.197 4.874
```

E_tot	-33.81	eV for the cell shown
total magnetization	0.473	μB/f.u.
calculated formation energy	728	meV/atom
DOS at the Fermi energy	2.8	states/eV per cell
space group	R3m (160)

[4]
This record from the Alexandria database describes an optimized crystal structure of Co4PbW. The functional is PBE.

```
6
Lattice="0.000 3.398 3.398 3.398 0.000 3.398 3.398 3.398 0.000" Properties=species:S:1:pos:R:3 pbc="T T T"
Pb 5.096 5.096 5.096
Co 2.543 2.543 2.543
Co 4.252 4.252 2.543
Co 2.543 4.252 4.252
Co 4.252 2.543 4.252
W 0.000 0.000 0.000
```

E_tot	-42.67	eV for the cell shown
total magnetization	1.088	μB/f.u.
calculated formation energy	402	meV/atom
DOS at the Fermi energy	9.0	states/eV per cell
space group	F-43m (216)

[5]
This record from the Alexandria database describes an optimized crystal structure of CoPbW. The functional is PBE.

```
3
Lattice="6.140 0.006 -0.006 5.389 2.939 0.029 0.752 0.148 2.930" Properties=species:S:1:pos:R:3 pbc="T T T"
Pb 7.874 1.996 1.009
W 4.663 1.163 1.875
Co 11.272 2.878 0.092
```

E_tot	-21.83	eV for the cell shown
total magnetization	0.001	μB/f.u.
calculated formation energy	644	meV/atom
DOS at the Fermi energy	4.3	states/eV per cell
space group	Fmm2 (42)

[6]
This record from the Alexandria database describes an optimized crystal structure of CoPbW2. The functional is PBE.

```
4
Lattice="-1.848 -3.671 2.942 5.031 0.458 -0.183 -0.087 1.866 2.274" Properties=species:S:1:pos:R:3 pbc="T T T"
Pb 2.472 1.162 1.045
W 0.000 0.000 0.000
W 1.591 -1.607 1.380
Co -0.968 -0.903 2.608
```

E_tot	-32.94	eV for the cell shown
total magnetization	1.020	μB/f.u.
calculated formation energy	944	meV/atom
DOS at the Fermi energy	3.8	states/eV per cell
space group	Cmmm (65)

[7]
This record from the Alexandria database describes an optimized crystal structure of CoPb3W. The functional is PBE.

```
5
Lattice="5.398 0.000 0.000 0.000 5.398 0.000 0.000 0.000 5.398" Properties=species:S:1:pos:R:3 pbc="T T T"
Pb 0.000 0.000 2.699
Pb 0.000 2.699 0.000
Pb 2.699 0.000 0.000
W 0.000 0.000 0.000
Co 2.699 2.699 2.699
```

E_tot	-24.83	eV for the cell shown
total magnetization	3.000	μB/f.u.
calculated formation energy	1271	meV/atom
DOS at the Fermi energy	12.9	states/eV per cell
space group	Pm-3m (221)

[8]
This record from the Alexandria database describes an optimized crystal structure of CoPbW2. The functional is PBE.

```
4
Lattice="-1.980 2.690 -0.831 -1.289 -0.178 2.495 3.939 4.375 4.777" Properties=species:S:1:pos:R:3 pbc="T T T"
Co -0.328 2.395 1.402
W -0.871 0.149 2.556
W 0.906 1.772 3.576
Pb 0.997 4.493 5.038
```

E_tot	-33.89	eV for the cell shown
total magnetization	0.186	μB/f.u.
calculated formation energy	708	meV/atom
DOS at the Fermi energy	3.8	states/eV per cell
space group	P2/m (10)

[9]
This record from the Alexandria database describes an optimized crystal structure of CoPb3W. The functional is PBE.

```
5
Lattice="-4.813 0.470 1.423 -1.249 -3.902 -2.937 0.828 -3.157 3.842" Properties=species:S:1:pos:R:3 pbc="T T T"
Pb 0.414 -1.579 1.921
Pb -0.625 -1.951 -1.469
Pb -2.407 0.235 0.712
W -2.617 -3.295 1.164
Co 0.000 0.000 0.000
```

E_tot	-24.93	eV for the cell shown
total magnetization	3.167	μB/f.u.
calculated formation energy	1251	meV/atom
DOS at the Fermi energy	2.2	states/eV per cell
space group	Pm-3m (221)

[10]
This record from the Alexandria database describes an optimized crystal structure of CoPbW. The functional is PBE.

```
3
Lattice="4.459 0.000 0.000 -2.230 3.862 0.000 0.000 0.000 2.918" Properties=species:S:1:pos:R:3 pbc="T T T"
Co 0.000 0.000 0.494
W 0.000 2.575 1.943
Pb 2.230 1.287 0.482
```

E_tot	-21.02	eV for the cell shown
total magnetization	0.898	μB/f.u.
calculated formation energy	916	meV/atom
DOS at the Fermi energy	2.7	states/eV per cell
space group	P3m1 (156)

[11]
This record from the Alexandria database describes an optimized crystal structure of CoPbW. The functional is PBE.

```
3
Lattice="-0.559 3.916 1.542 -3.921 1.450 0.741 -1.345 0.538 3.991" Properties=species:S:1:pos:R:3 pbc="T T T"
Co -4.369 4.429 4.705
Pb 0.000 0.000 0.000
W -2.912 2.952 3.137
```

E_tot	-21.60	eV for the cell shown
total magnetization	0.959	μB/f.u.
calculated formation energy	722	meV/atom
DOS at the Fermi energy	4.8	states/eV per cell
space group	F-43m (216)

[12]
This record from the Alexandria database describes an optimized crystal structure of CoPbW2. The functional is PBE.

```
4
Lattice="-0.978 1.204 -2.500 1.743 -2.069 -1.158 -6.049 -5.058 -0.068" Properties=species:S:1:pos:R:3 pbc="T T T"
Co -1.130 -1.697 -1.846
W -0.277 -0.231 -0.003
W -2.748 -2.298 -0.031
Pb -4.155 -4.226 -1.880
```

E_tot	-33.63	eV for the cell shown
total magnetization	1.122	μB/f.u.
calculated formation energy	773	meV/atom
DOS at the Fermi energy	2.4	states/eV per cell
space group	Cmmm (65)

The highest total magnetization belongs to which entry? number 9

calculated formation energy of number 8 (CoPbW2)? 708 meV/atom